(1)
Here is crystalline K2Zn2SbO6 at its relaxed geometry from Alexandria. Energies are from PBE-GGA.

Geometry as POSCAR:
```
K2Zn2SbO6
1.0
5.930 0.000 0.000
2.965 5.136 0.000
2.965 1.712 5.888
K Zn Sb O
2 2 1 6
Direct
0.796 0.796 0.612
0.204 0.204 0.388
0.393 0.393 0.820
0.607 0.607 0.180
0.000 0.000 0.000
0.776 0.776 0.214
0.233 0.776 0.214
0.776 0.233 0.214
0.224 0.767 0.786
0.767 0.224 0.786
0.224 0.224 0.786
```

The formation energy without anion corrections comes out at -1334 meV per atom. As for the theoretical density: 3.95 g/cm³.

(2)
Here is crystalline In2SiRh6 at its relaxed geometry from Alexandria. Energies are from PBE-GGA.

Geometry as POSCAR:
```
In2SiRh6
1.0
-0.968 -2.726 0.311
6.444 -2.587 -2.624
-0.249 2.492 7.431
In Si Rh
2 1 6
Direct
0.651 0.652 0.303
0.349 0.348 0.697
0.000 0.000 0.000
0.169 0.353 0.338
0.831 0.015 0.662
0.831 0.647 0.662
0.500 0.249 0.000
0.169 0.985 0.338
0.500 0.751 0.000
```

The formation energy without anion corrections comes out at -185 meV per atom. As for the theoretical density: 9.97 g/cm³.

(3)
Here is crystalline Pt3PbCl at its relaxed geometry from Alexandria. Energies are from PBE-GGA.

Geometry as POSCAR:
```
Pt3PbCl
1.0
5.135 0.000 0.000
0.000 5.135 0.000
0.000 0.000 5.135
Pb Pt Cl
1 3 1
Direct
0.000 0.000 0.000
0.000 0.500 0.000
0.000 0.000 0.500
0.500 0.000 0.000
0.500 0.500 0.500
```

The formation energy without anion corrections comes out at 1297 meV per atom. As for the theoretical density: 10.15 g/cm³. For the energy above the lowest structure with this stoichiometry, the calculation gives 591 meV/atom.

(4)
Here is crystalline GaCl2F at its relaxed geometry from Alexandria. Energies are from PBE-GGA.

Geometry as POSCAR:
```
GaCl2F
1.0
2.044 0.000 7.620
-1.022 1.770 7.620
-1.022 -1.770 7.620
F Ga Cl
1 1 2
Direct
0.000 0.000 0.000
0.500 0.500 0.500
0.899 0.899 0.899
0.101 0.101 0.101
```

The formation energy without anion corrections comes out at -531 meV per atom. As for the theoretical density: 3.20 g/cm³. For the energy above the lowest structure with this stoichiometry, the calculation gives 1060 meV/atom.

(5)
Here is crystalline K4RhCl6 at its relaxed geometry from Alexandria. Energies are from PBE-GGA.

Geometry as POSCAR:
```
K4RhCl6
1.0
-6.565 -5.218 -1.760
-0.125 -2.597 8.165
-5.605 6.396 1.949
K Rh Cl
8 2 12
Direct
0.327 0.173 0.250
0.173 0.673 0.750
0.673 0.827 0.750
0.827 0.327 0.750
0.327 0.173 0.750
0.173 0.673 0.250
0.827 0.327 0.250
0.673 0.827 0.250
0.500 0.500 0.000
0.000 0.000 0.500
0.292 0.910 0.500
0.792 0.590 0.000
0.590 0.208 0.000
0.090 0.292 0.500
0.000 0.000 0.228
0.500 0.500 0.272
0.410 0.792 0.000
0.000 0.000 0.772
0.208 0.410 0.000
0.500 0.500 0.728
0.910 0.708 0.500
0.708 0.090 0.500
```

The formation energy without anion corrections comes out at -1494 meV per atom. As for the theoretical density: 2.45 g/cm³.

(6)
Here is crystalline USn2Os at its relaxed geometry from Alexandria. Energies are from PBE-GGA.

Geometry as POSCAR:
```
USn2Os
1.0
3.111 0.000 0.000
1.556 2.694 0.000
1.556 0.898 10.575
Os U Sn
1 1 2
Direct
0.500 0.500 0.500
0.000 0.000 0.000
0.100 0.100 0.700
0.900 0.900 0.300
```

As for the theoretical density: 12.47 g/cm³. Its formation energy is 476 meV per atom.